16
Lattice="5.5403 0.0000 0.0000 0.0000 7.2206 0.0000 0.0000 0.0000 8.1223" Properties=species:S:1:pos:R:3 comment="TbGaAu2 | Alexandria | PBE | optimized geometry" total_energy_ev_per_cell=-67.75 m_tot_mub_per_cell=0.0 delta_e_f_ev_per_atom=-0.682 spacegroup="Pnma, No. 62" pbc="T T T"
Ga 1.9598 5.4155 4.9077
Ga 0.8103 5.4155 0.8466
Ga 4.7300 1.8052 7.2757
Ga 3.5805 1.8052 3.2146
Au 2.1181 3.9361 2.5781
Au 0.6520 3.9361 6.6392
Au 2.1181 6.8948 2.5781
Au 4.8883 3.2845 1.4830
Au 4.8883 0.3258 1.4830
Au 0.6520 6.8948 6.6392
Au 3.4222 3.2845 5.5442
Au 3.4222 0.3258 5.5442
Tb 1.9587 1.8052 0.4413
Tb 3.5816 5.4155 7.6810
Tb 4.7288 5.4155 3.6199
Tb 0.8115 1.8052 4.5024